(1)
The following is a DFT calculation (PBE-GGA) of TbNd2Er2Tm2 after structural relaxation.

a = 6.0904 Å, b = 6.0904 Å, c = 11.7708 Å
α = 108.25°, β = 108.25°, γ = 33.41°
Element x y z (fractional)
Tb 0.0000 0.0000 0.0000
Nd 0.3286 0.3286 0.4152
Nd 0.6714 0.6714 0.5848
Er 0.4505 0.4505 0.7311
Er 0.5495 0.5495 0.2689
Tm 0.2263 0.2263 0.8648
Tm 0.7737 0.7737 0.1352

Values from the calculation:
E_tot = -4.518 eV per atom
energy of formation = 87 meV/atom

=====

(2)
The following is a DFT calculation (PBE-GGA) of Be2PtF after structural relaxation.

a = 4.2268 Å, b = 4.2268 Å, c = 6.4217 Å
α = 110.04°, β = 110.04°, γ = 57.58°
Element x y z (fractional)
Be 0.0000 0.0000 0.0000
Be 0.4522 0.1164 0.7020
Be 0.6393 0.3607 0.5000
Be 0.8836 0.5478 0.2980
Pt 0.3551 0.4005 0.1158
Pt 0.5995 0.6449 0.8842
F 0.0677 0.2666 0.5059
F 0.7334 0.9323 0.4941

Values from the calculation:
E_tot = -4.995 eV per atom
distance to the lowest polymorph of the same formula = 302 meV/atom